(1)
First-principles (PBE) data for Na3LaRh after structural relaxation, as listed in Alexandria via LeMat-Bulk.

formation enthalpy at 0 K = 120 meV per atom
mass density = 3.6 Mg/m³
spin magnetization = 0.00 μB/atom

a = 3.3682 Å, b = 8.8878 Å, c = 8.8878 Å
α = 32.82°, β = 90.00°, γ = 90.00°
Last column: nearest neighbours and their distance in Å.
Atoms (fractional coordinates):
Na 0.0000 0.0000 0.0000  2 Rh 3.12, 2 Na 3.37
Na 0.5000 0.0810 0.5667  2 Na 2.44-2.58
Na 0.5000 0.5667 0.0810  2 Na 2.44-2.58
La 0.0000 0.6460 0.6460  4 Rh 3.03, 2 La 3.37
Rh 0.5000 0.1543 0.1543  4 La 3.03, 4 Na 3.12-3.14, 2 Rh 3.37

(2)
First-principles (PBE) data for Na2La2Rh after structural relaxation, as listed in Alexandria via LeMat-Bulk.

formation enthalpy at 0 K = -14 meV per atom
mass density = 4.0 Mg/m³
spin magnetization = 0.00 μB/atom

a = 7.3853 Å, b = 7.3853 Å, c = 6.5554 Å
α = 90.00°, β = 90.00°, γ = 90.00°
Last column: nearest neighbours and their distance in Å.
Atoms (fractional coordinates):
Na 0.1655 0.3345 0.0000  1 Na 3.46, 2 La 3.66
Na 0.3345 0.8345 0.0000  1 Na 3.46, 2 La 3.66
Na 0.6655 0.1655 0.0000  1 Na 3.46, 2 La 3.66
Na 0.8345 0.6655 0.0000  1 Na 3.46, 2 La 3.66
La 0.1777 0.6777 0.5000  2 Rh 2.72
La 0.3223 0.1777 0.5000  2 Rh 2.72
La 0.6777 0.8223 0.5000  2 Rh 2.72
La 0.8223 0.3223 0.5000  2 Rh 2.72
Rh 0.0000 0.0000 0.5000  4 La 2.72
Rh 0.5000 0.5000 0.5000  4 La 2.72

(3)
First-principles (PBE) data for Na3LaRh after structural relaxation, as listed in Alexandria via LeMat-Bulk.

formation enthalpy at 0 K = 54 meV per atom
mass density = 3.0 Mg/m³
spin magnetization = 0.00 μB/atom

a = 11.5248 Å, b = 11.5248 Å, c = 5.2965 Å
α = 90.00°, β = 90.00°, γ = 150.40°
Last column: nearest neighbours and their distance in Å.
Atoms (fractional coordinates):
Na 0.0000 0.0000 0.0000  2 Na 2.65
Na 0.0000 0.0000 0.5000  2 Na 2.65
Na 0.1237 0.3864 0.7500  2 Na 2.88-3.00
Na 0.3864 0.1237 0.2500  2 Na 2.88-3.00
Na 0.6136 0.8763 0.7500  2 Na 2.88-3.00
Na 0.8763 0.6136 0.2500  2 Na 2.88-3.00
La 0.2256 0.7744 0.7500  4 Rh 2.80-2.95
La 0.7744 0.2256 0.2500  4 Rh 2.80-2.95
Rh 0.2664 0.7336 0.2500  4 La 2.80-2.95
Rh 0.7336 0.2664 0.7500  4 La 2.80-2.95

(4)
First-principles (PBE) data for Na3LaRh after structural relaxation, as listed in Alexandria via LeMat-Bulk.

formation enthalpy at 0 K = -119 meV per atom
mass density = 3.3 Mg/m³
spin magnetization = 0.00 μB/atom

a = 3.7017 Å, b = 8.5171 Å, c = 10.7174 Å
α = 69.85°, β = 89.69°, γ = 89.86°
Last column: nearest neighbours and their distance in Å.
Atoms (fractional coordinates):
Na 0.0000 0.0000 0.0000  2 Rh 3.26, 4 Na 3.40-3.41
Na 0.0024 0.6157 0.5996  1 Rh 3.20, 4 Na 3.36-3.56
Na 0.4864 0.0001 0.5008  8 Na 3.56-3.98
Na 0.4969 0.7410 0.2546  2 Rh 3.11, 4 Na 3.40-3.45
Na 0.5010 0.2593 0.7460  2 Rh 3.11, 4 Na 3.40-3.44
Na 0.9899 0.3844 0.4008  1 Rh 3.19, 3 Na 3.36-3.45
La 0.4970 0.3063 0.1217  4 Rh 2.81-3.00
La 0.5024 0.6933 0.8791  4 Rh 2.81-3.00
Rh 0.0007 0.5931 0.0896  4 La 2.81-3.00, 1 Rh 2.88, 2 Na 3.11
Rh 0.9980 0.4066 0.9112  4 La 2.81-3.00, 1 Rh 2.88, 2 Na 3.11

(5)
First-principles (PBE) data for NaLa2Rh2 after structural relaxation, as listed in Alexandria via LeMat-Bulk.

formation enthalpy at 0 K = -476 meV per atom
mass density = 6.8 Mg/m³
spin magnetization = 0.00 μB/atom

a = 8.1339 Å, b = 8.1339 Å, c = 3.7163 Å
α = 90.00°, β = 90.00°, γ = 90.00°
Last column: nearest neighbours and their distance in Å.
Atoms (fractional coordinates):
Na 0.0000 0.0000 0.0000  4 Rh 3.15
Na 0.5000 0.5000 0.0000  4 Rh 3.15
La 0.1557 0.3443 0.5000  6 Rh 3.02-3.03
La 0.3443 0.8443 0.5000  6 Rh 3.02-3.03
La 0.6557 0.1557 0.5000  6 Rh 3.02-3.03
La 0.8443 0.6557 0.5000  6 Rh 3.02-3.03
Rh 0.1377 0.6377 0.0000  6 La 3.02-3.03, 2 Na 3.15, 1 Rh 3.17
Rh 0.3623 0.1377 0.0000  6 La 3.02-3.03, 2 Na 3.15, 1 Rh 3.17
Rh 0.6377 0.8623 0.0000  6 La 3.02-3.03, 2 Na 3.15, 1 Rh 3.17
Rh 0.8623 0.3623 0.0000  6 La 3.02-3.03, 2 Na 3.15, 1 Rh 3.17

(6)
First-principles (PBE) data for NaLa3Rh8 after structural relaxation, as listed in Alexandria via LeMat-Bulk.

formation enthalpy at 0 K = -517 meV per atom
mass density = 9.3 Mg/m³
spin magnetization = 0.00 μB/atom

a = 9.4146 Å, b = 9.4146 Å, c = 9.4146 Å
α = 33.35°, β = 33.35°, γ = 33.35°
Last column: nearest neighbours and their distance in Å.
Atoms (fractional coordinates):
Na 0.0000 0.0000 0.0000  12 Rh 3.13-3.20, 4 La 3.22-3.25
La 0.1210 0.1210 0.1210  12 Rh 3.09-3.33, 1 Na 3.22, 3 La 3.38
La 0.5033 0.5033 0.5033  12 Rh 3.16-3.21, 4 La 3.38-3.45
La 0.6326 0.6326 0.6326  12 Rh 3.06-3.25, 3 Na 3.25
Rh 0.0649 0.0649 0.5643  6 Rh 2.70-2.71
Rh 0.0649 0.5643 0.0649  6 Rh 2.70-2.71
Rh 0.0665 0.5637 0.5637  6 Rh 2.69-2.72
Rh 0.3145 0.3145 0.3145  6 Rh 2.71
Rh 0.5643 0.0649 0.0649  6 Rh 2.70-2.71
Rh 0.5637 0.0665 0.5637  6 Rh 2.69-2.72
Rh 0.5637 0.5637 0.0665  6 Rh 2.69-2.72
Rh 0.8147 0.8147 0.8147  6 Rh 2.71-2.72

(7)
First-principles (PBE) data for Na3LaRh after structural relaxation, as listed in Alexandria via LeMat-Bulk.

formation enthalpy at 0 K = -58 meV per atom
mass density = 3.3 Mg/m³
spin magnetization = 0.00 μB/atom

a = 10.0634 Å, b = 10.0634 Å, c = 6.9141 Å
α = 108.45°, β = 108.45°, γ = 74.05°
Last column: nearest neighbours and their distance in Å.
Atoms (fractional coordinates):
Na 0.0627 0.1368 0.4807  3 Rh 3.07-3.40, 1 Na 3.44
Na 0.0951 0.4398 0.3341  1 Rh 3.11, 4 Na 3.18-3.37
Na 0.1368 0.0627 0.9807  3 Rh 3.07-3.40, 1 Na 3.44
Na 0.2080 0.4021 0.9061  4 Na 3.22-3.52, 1 Rh 3.25
Na 0.4021 0.2080 0.4061  4 Na 3.22-3.52, 1 Rh 3.25
Na 0.4398 0.0951 0.8341  1 Rh 3.11, 4 Na 3.18-3.37
Na 0.5602 0.9049 0.1659  1 Rh 3.11, 4 Na 3.18-3.37
Na 0.5979 0.7920 0.5939  4 Na 3.22-3.52, 1 Rh 3.25
Na 0.7920 0.5979 0.0939  4 Na 3.22-3.52, 1 Rh 3.25
Na 0.8632 0.9373 0.0193  3 Rh 3.07-3.40, 1 Na 3.44
Na 0.9049 0.5602 0.6659  1 Rh 3.11, 4 Na 3.18-3.37
Na 0.9373 0.8632 0.5193  3 Rh 3.07-3.40, 1 Na 3.44
La 0.2463 0.7537 0.2500  2 Rh 2.50
La 0.3960 0.6040 0.7500  2 Rh 2.62
La 0.6040 0.3960 0.2500  2 Rh 2.62
La 0.7537 0.2463 0.7500  2 Rh 2.50
Rh 0.1557 0.7254 0.8607  2 La 2.50-2.62
Rh 0.2746 0.8443 0.6393  2 La 2.50-2.62
Rh 0.7254 0.1557 0.3607  2 La 2.50-2.62
Rh 0.8443 0.2746 0.1393  2 La 2.50-2.62

(8)
First-principles (PBE) data for Na3LaRh after structural relaxation, as listed in Alexandria via LeMat-Bulk.

formation enthalpy at 0 K = -118 meV per atom
mass density = 3.5 Mg/m³
spin magnetization = 0.00 μB/atom

a = 5.6930 Å, b = 6.4302 Å, c = 8.9514 Å
α = 108.98°, β = 106.30°, γ = 95.67°
Last column: nearest neighbours and their distance in Å.
Atoms (fractional coordinates):
Na 0.0000 0.0000 0.0000  2 Rh 3.06-3.14, 5 Na 3.13-3.41
Na 0.0168 0.5177 0.0361  2 Rh 3.07-3.14, 5 Na 3.13-3.40
Na 0.2689 0.4774 0.4046  4 Na 3.22-3.38, 2 Rh 3.30-3.33
Na 0.4277 0.6756 0.9032  4 Na 3.13-3.47
Na 0.5419 0.2906 0.1331  4 Na 3.13-3.47
Na 0.8824 0.5919 0.6320  4 Na 3.23-3.38, 2 Rh 3.29-3.34
La 0.4747 0.0980 0.6538  2 Rh 2.59-2.82
La 0.8398 0.9630 0.3823  2 Rh 2.59-2.82
Rh 0.0133 0.1409 0.7062  2 La 2.59-2.82
Rh 0.3254 0.9509 0.3296  2 La 2.59-2.82

(9)
First-principles (PBE) data for NaLa2Rh2 after structural relaxation, as listed in Alexandria via LeMat-Bulk.

formation enthalpy at 0 K = -352 meV per atom
mass density = 6.4 Mg/m³
spin magnetization = 0.00 μB/atom

a = 5.8945 Å, b = 5.8945 Å, c = 5.8945 Å
α = 125.62°, β = 125.62°, γ = 80.52°
Last column: nearest neighbours and their distance in Å.
Atoms (fractional coordinates):
Na 0.0000 0.0000 0.0000  2 Rh 3.12
La 0.2500 0.7500 0.5000  4 Rh 2.83
La 0.7500 0.2500 0.5000  4 Rh 2.83
Rh 0.3467 0.3467 0.0000  1 Rh 2.76, 4 La 2.83
Rh 0.6533 0.6533 0.0000  1 Rh 2.76, 4 La 2.83

(10)
First-principles (PBE) data for Na3LaRh after structural relaxation, as listed in Alexandria via LeMat-Bulk.

formation enthalpy at 0 K = 850 meV per atom
mass density = 2.8 Mg/m³
spin magnetization = 0.02 μB/atom

a = 4.2384 Å, b = 4.2384 Å, c = 23.6342 Å
α = 90.00°, β = 90.00°, γ = 120.00°
Last column: nearest neighbours and their distance in Å.
Atoms (fractional coordinates):
Na 0.0000 0.0000 0.2500  3 Rh 2.45
Na 0.0000 0.0000 0.7500  3 Rh 2.45
Na 0.3333 0.6667 0.1316  1 Rh 2.80
Na 0.3333 0.6667 0.3684  1 Rh 2.80
Na 0.6667 0.3333 0.6316  1 Rh 2.80
Na 0.6667 0.3333 0.8684  1 Rh 2.80
La 0.0000 0.0000 0.0000  6 Na 3.96, 6 La 4.24
La 0.0000 0.0000 0.5000  6 Na 3.96, 6 La 4.24
Rh 0.3333 0.6667 0.2500  3 Na 2.45
Rh 0.6667 0.3333 0.7500  3 Na 2.45

(11)
First-principles (PBE) data for Na3LaRh after structural relaxation, as listed in Alexandria via LeMat-Bulk.

formation enthalpy at 0 K = -120 meV per atom
mass density = 3.5 Mg/m³
spin magnetization = 0.00 μB/atom

a = 5.8835 Å, b = 5.8835 Å, c = 11.2637 Å
α = 102.03°, β = 102.03°, γ = 51.02°
Last column: nearest neighbours and their distance in Å.
Atoms (fractional coordinates):
Na 0.0000 0.0000 0.0000  4 Rh 3.00, 2 Na 3.21
Na 0.0821 0.0821 0.2928  4 Na 3.21-3.48, 2 Rh 3.52
Na 0.2184 0.2184 0.6334  1 Rh 3.09, 2 Na 3.28
Na 0.5000 0.5000 0.5000  10 Na 3.53-3.68
Na 0.7816 0.7816 0.3666  1 Rh 3.09, 2 Na 3.28
Na 0.9179 0.9179 0.7072  4 Na 3.21-3.48, 2 Rh 3.52
La 0.3333 0.3333 0.1172  1 Rh 2.47
La 0.6667 0.6667 0.8828  1 Rh 2.47
Rh 0.3603 0.3603 0.9055  1 La 2.47
Rh 0.6397 0.6397 0.0945  1 La 2.47